## CsS2F (PBE)

Data for a relaxed CsS2F crystal.

formation energy (no corrections) = -0.534 eV per atom
ρ = 3.79 g/cm3
offset from the most stable computed form = 395 meV per atom
SG = R-3m (166)
uncorrected energy = -3.279 eV per atom

Lattice parameters (Å, degrees): 6.440 6.440 6.440 38.92 38.92 38.92
Fractional coordinates of all 4 atoms:
Cs1 0.000 0.000 0.000
F1 0.500 0.500 0.500
S1 0.178 0.178 0.178
S2 0.822 0.822 0.822

## Cs3SF6 (PBE)

Data for a relaxed Cs3SF6 crystal.

formation energy (no corrections) = -2.120 eV per atom
ρ = 3.76 g/cm3
SG = I4/mmm (139)
uncorrected energy = -3.912 eV per atom

Lattice parameters (Å, degrees): 6.589 6.589 7.244 62.95 62.95 90.00
Each line ends with the local moment (μB).
Fractional coordinates of all 10 atoms:
F1 0.698 0.698 0.000  0.03
F2 0.302 0.302 0.000  0.03
Cs1 0.250 0.750 0.500  0.00
S1 0.500 0.500 0.000  0.47
Cs2 0.000 0.000 0.000  0.01
F3 0.254 0.254 0.493  0.09
Cs3 0.750 0.250 0.500  0.00
F4 0.746 0.746 0.507  0.09
F5 0.698 0.302 0.000  0.03
F6 0.302 0.698 0.000  0.03

## CsSF3 (PBE)

Data for a relaxed CsSF3 crystal.

formation energy (no corrections) = -1.420 eV per atom
ρ = 4.18 g/cm3
offset from the most stable computed form = 262 meV per atom
SG = Pm-3m (221)
uncorrected energy = -3.539 eV per atom

Lattice parameters (Å, degrees): 4.449 4.449 4.449 90.00 90.00 90.00
Fractional coordinates of all 5 atoms:
S1 0.000 0.000 0.000
F1 0.500 0.000 0.000
Cs1 0.500 0.500 0.500
F2 0.000 0.000 0.500
F3 0.000 0.500 0.000

## CsS2F2 (PBE)

Data for a relaxed CsS2F2 crystal.

formation energy (no corrections) = -1.060 eV per atom
ρ = 3.63 g/cm3
offset from the most stable computed form = 97 meV per atom
SG = I4/mmm (139)
uncorrected energy = -3.630 eV per atom

Lattice parameters (Å, degrees): 5.017 5.017 5.557 63.16 63.16 90.00
Each line ends with the local moment (μB).
Fractional coordinates of all 5 atoms:
S1 0.609 0.609 0.783  0.21
F1 0.750 0.250 0.500  0.02
Cs1 0.000 0.000 0.000  0.00
F2 0.250 0.750 0.500  0.02
S2 0.391 0.391 0.217  0.21